TiPd9Pt4 (PBE, optimized geometry); size of the total moment = 0.0 μB/cell; density of states at the Fermi level = 26.562 states/eV/cell; space-group type = P6_3/mmc, No. 194; total energy = -5.72 eV per atom
1.0
-3.4862 -6.0594 -4.9254
4.9983 -5.2753 2.9520
-6.9419 1.1866 3.4536
Ti Pd Pt
2 18 8
Direct
0.2500 0.6667 0.3333
0.7500 0.3333 0.6667
0.0359 0.7907 0.5813
0.0359 0.7907 0.2093
0.0359 0.4187 0.2093
0.9641 0.2093 0.4187
0.9641 0.2093 0.7907
0.9641 0.5813 0.7907
0.5359 0.2093 0.4187
0.5359 0.2093 0.7907
0.5359 0.5813 0.7907
0.4641 0.7907 0.5813
0.4641 0.7907 0.2093
0.4641 0.4187 0.2093
0.2500 0.4732 0.9465
0.2500 0.4732 0.5268
0.2500 0.0535 0.5268
0.7500 0.5268 0.0535
0.7500 0.5268 0.4732
0.7500 0.9465 0.4732
0.2500 0.1151 0.2303
0.2500 0.1151 0.8849
0.2500 0.7697 0.8849
0.7500 0.8849 0.7697
0.7500 0.8849 0.1151
0.7500 0.2303 0.1151
0.0000 0.0000 0.0000
0.5000 0.0000 0.0000



YTm4Tl (PBE, optimized geometry); size of the total moment = 0.0 μB/cell; E above lowest polymorph = 0.782 eV per formula unit; density of states at the Fermi level = 14.016 states/eV/cell; space-group type = C2/c, No. 15; total energy = -4.42 eV per atom
1.0
5.5971 -1.8167 0.0000
-2.4172 7.4838 0.0000
-1.5900 -2.8335 9.4689
Y Tm Tl
2 8 2
Direct
0.3735 0.6235 0.2470
0.6265 0.3765 0.7530
0.2069 0.9626 0.4246
0.9610 0.8020 0.0775
0.2823 0.5380 0.5754
0.3835 0.7245 0.9225
0.7931 0.0374 0.5754
0.7177 0.4620 0.4246
0.0390 0.1980 0.9225
0.6165 0.2755 0.0775
0.8833 0.1333 0.2667
0.1167 0.8667 0.7333



TcAsN2 (PBE, optimized geometry); size of the total moment = 0.0 μB/cell; density of states at the Fermi level = 1.170 states/eV/cell; space-group type = I-42d, No. 122; total energy = -7.31 eV per atom
1.0
4.9500 0.0000 0.0000
0.0000 4.9500 0.0000
2.4750 2.4750 4.5335
As Tc N
2 2 4
Direct
0.5000 0.5000 0.0000
0.2500 0.7500 0.5000
0.0000 0.0000 0.0000
0.7500 0.2500 0.5000
0.6777 0.1250 0.2500
0.0723 0.6250 0.2500
0.3750 0.3223 0.7500
0.8750 0.9277 0.7500



TiCd2Pd (PBE, optimized geometry); size of the total moment = 0.0 μB/cell; density of states at the Fermi level = 2.700 states/eV/cell; space-group type = Fm-3m, No. 225; total energy = -3.86 eV per atom
1.0
0.0000 3.2958 3.2958
3.2958 0.0000 3.2958
3.2958 3.2958 0.0000
Ti Pd Cd
1 1 2
Direct
0.0000 0.0000 0.0000
0.5000 0.5000 0.5000
0.2500 0.2500 0.2500
0.7500 0.7500 0.7500



SiSn (PBE, optimized geometry); size of the total moment = 0.0 μB/cell; density of states at the Fermi level = 0.649 states/eV/cell; space-group type = Fddd, No. 70; total energy = -4.29 eV per atom
1.0
11.6523 0.0000 0.0000
0.0000 11.8527 0.0000
0.0000 0.0000 8.6923
Si Sn
16 16
Direct
0.0000 0.8394 0.0000
0.0000 0.1606 0.0000
0.2500 0.9106 0.2500
0.2500 0.5894 0.2500
0.0000 0.3394 0.5000
0.0000 0.6606 0.5000
0.2500 0.4106 0.7500
0.2500 0.0894 0.7500
0.5000 0.8394 0.5000
0.5000 0.1606 0.5000
0.7500 0.9106 0.7500
0.7500 0.5894 0.7500
0.5000 0.3394 0.0000
0.5000 0.6606 0.0000
0.7500 0.4106 0.2500
0.7500 0.0894 0.2500
0.1609 0.0000 0.0000
0.8391 0.0000 0.0000
0.0891 0.7500 0.2500
0.4109 0.7500 0.2500
0.1609 0.5000 0.5000
0.8391 0.5000 0.5000
0.0891 0.2500 0.7500
0.4109 0.2500 0.7500
0.6609 0.0000 0.5000
0.3391 0.0000 0.5000
0.5891 0.7500 0.7500
0.9109 0.7500 0.7500
0.6609 0.5000 0.0000
0.3391 0.5000 0.0000
0.5891 0.2500 0.2500
0.9109 0.2500 0.2500



Li2Ta2NiS6 (PBE, optimized geometry); size of the total moment = 1.8 μB/cell; density of states at the Fermi level = 2.586 states/eV/cell; space-group type = C2/m, No. 12; total energy = -6.19 eV per atom
1.0
6.0436 -0.0788 0.1193
-3.0556 5.2149 0.1193
-0.9985 -1.7163 6.1804
Li Ta Ni S
2 2 1 6
Direct
0.8222 0.1778 0.0000
0.1778 0.8222 0.0000
0.3591 0.6409 0.5000
0.6409 0.3591 0.5000
0.0000 0.0000 0.5000
0.7520 0.7520 0.7552
0.0547 0.3948 0.7177
0.2480 0.2480 0.2448
0.3948 0.0547 0.7177
0.9453 0.6052 0.2823
0.6052 0.9453 0.2823



Tb7Ho16Tm6 (PBE, optimized geometry); size of the total moment = 0.0 μB/cell; density of states at the Fermi level = 56.363 states/eV/cell; space-group type = Fm-3m, No. 225; total energy = -4.31 eV per atom
1.0
9.5408 0.0000 5.5084
3.1803 8.9951 5.5084
0.0000 0.0000 11.0167
Tb Ho Tm
7 16 6
Direct
0.0000 0.0000 0.0000
0.5000 0.0000 0.5000
0.0000 0.5000 0.0000
0.0000 0.5000 0.5000
0.5000 0.0000 0.0000
0.0000 0.0000 0.5000
0.5000 0.5000 0.0000
0.8761 0.8761 0.3717
0.8761 0.8761 0.8761
0.8761 0.3717 0.8761
0.3717 0.8761 0.8761
0.1239 0.1239 0.1239
0.1239 0.1239 0.6283
0.1239 0.6283 0.1239
0.6283 0.1239 0.1239
0.6508 0.6508 0.0475
0.6508 0.6508 0.6508
0.6508 0.0475 0.6508
0.0475 0.6508 0.6508
0.3492 0.3492 0.3492
0.3492 0.3492 0.9525
0.3492 0.9525 0.3492
0.9525 0.3492 0.3492
0.2720 0.7280 0.2720
0.7280 0.2720 0.7280
0.7280 0.2720 0.2720
0.2720 0.7280 0.7280
0.7280 0.7280 0.2720
0.2720 0.2720 0.7280



Sr2Sb2Pb (PBE, optimized geometry); size of the total moment = 0.0 μB/cell; E above lowest polymorph = 0.927 eV per formula unit; density of states at the Fermi level = 5.208 states/eV/cell; space-group type = P4/mbm, No. 127; total energy = -3.56 eV per atom
1.0
-9.0366 0.8246 -1.7508
0.7914 -6.0548 -6.9367
-0.7647 -3.0018 2.5329
Pb Sb Sr
2 4 4
Direct
0.0000 0.0000 0.0000
0.5000 0.5000 0.0000
0.1717 0.6717 0.5000
0.6717 0.8283 0.5000
0.8283 0.3283 0.5000
0.3283 0.1717 0.5000
0.3673 0.8673 0.0000
0.8673 0.6327 0.0000
0.6327 0.1327 0.0000
0.1327 0.3673 0.0000



SrPrDy2 (PBE, optimized geometry); size of the total moment = 0.0 μB/cell; E above lowest polymorph = 0.265 eV per formula unit; density of states at the Fermi level = 6.839 states/eV/cell; space-group type = P4/mmm, No. 123; total energy = -3.73 eV per atom
1.0
-3.3480 -4.0168 0.3169
3.3534 -2.5459 3.1578
-2.2673 2.2210 4.1983
Pr Sr Dy
1 1 2
Direct
0.5000 0.5000 0.5000
0.5000 0.0000 0.0000
0.0000 0.0000 0.5000
0.0000 0.5000 0.0000



EuCu2Ge (PBE, optimized geometry); size of the total moment = 7.1 μB/cell; density of states at the Fermi level = 8.198 states/eV/cell; space-group type = R-3m, No. 166; total energy = -6.06 eV per atom
1.0
4.2298 0.0000 0.0000
2.1149 3.6631 0.0000
2.1149 1.2210 5.0972
Eu Ge Cu
1 1 2
Direct
0.0000 0.0000 0.0000
0.5000 0.5000 0.5000
0.8030 0.8030 0.5911
0.1970 0.1970 0.4089



NaRu2O5 (PBE, optimized geometry); size of the total moment = 0.0 μB/cell; E above lowest polymorph = 0.000 eV per formula unit; density of states at the Fermi level = 9.380 states/eV/cell; space-group type = Cmcm, No. 63; total energy = -6.65 eV per atom
1.0
3.9286 0.0000 0.0000
-1.9643 5.1091 0.0000
0.0000 0.0000 9.7201
Na Ru O
2 4 10
Direct
0.4208 0.8416 0.7500
0.5792 0.1584 0.2500
0.8592 0.7184 0.4387
0.8592 0.7184 0.0613
0.1408 0.2816 0.5613
0.1408 0.2816 0.9387
0.9539 0.9079 0.8885
0.9539 0.9079 0.6115
0.3194 0.6387 0.4669
0.3194 0.6387 0.0331
0.8104 0.6208 0.2500
0.1896 0.3792 0.7500
0.6806 0.3613 0.5331
0.6806 0.3613 0.9669
0.0461 0.0921 0.1115
0.0461 0.0921 0.3885



ScSBrCl2 (PBE, optimized geometry); size of the total moment = 0.0 μB/cell; E above lowest polymorph = 0.000 eV per formula unit; density of states at the Fermi level = 2.402 states/eV/cell; space-group type = P4/mmm, No. 123; total energy = -4.11 eV per atom
1.0
-0.6362 -1.2833 -4.5917
-4.2818 -1.8835 1.1196
-2.3843 4.8164 -1.0158
Sc S Br Cl
1 1 1 2
Direct
0.0000 0.0000 0.0000
0.0000 0.0000 0.5000
0.5000 0.5000 0.5000
0.0000 0.5000 0.0000
0.5000 0.0000 0.0000



> Look up the size of the total moment of the ninth one.

0.0 μB/cell



> What is the formula in the twelfth record?

ScSBrCl2